[1]
Na2B3C: relaxed, PBE.

Calculated values
calculated formation energy: 0.16 eV per atom
space-group type: Cm
offset from the most stable computed form: 31 meV per atom
density of states at the Fermi level: 1.525 states/eV/f.u.
total magnetization: 0.0 μB/cell

a b c (Å): 11.651 11.651 10.037
angles (deg): 106.53 106.53 14.03
Atoms (fractional coordinates):
Na  0.400  0.400  0.801
Na  0.501  0.501  0.498
Na  0.200  0.200  0.402
Na  0.300  0.300  0.097
Na  0.999  0.999  0.001
Na  0.101  0.101  0.701
Na  0.800  0.800  0.603
Na  0.900  0.900  0.297
Na  0.598  0.598  0.204
Na  0.701  0.701  0.898
B  0.921  0.921  0.591
B  0.083  0.083  0.416
B  0.010  0.010  0.270
B  0.985  0.985  0.721
B  0.715  0.715  0.180
B  0.816  0.816  0.882
B  0.778  0.778  0.306
B  0.522  0.522  0.795
B  0.624  0.624  0.498
B  0.588  0.588  0.925
B  0.319  0.319  0.387
B  0.413  0.413  0.075
B  0.382  0.382  0.513
B  0.219  0.219  0.690
B  0.176  0.176  0.102
C  0.881  0.881  0.012
C  0.687  0.687  0.626
C  0.479  0.479  0.206
C  0.116  0.116  0.982
C  0.284  0.284  0.819

[2]
Na2B3C: relaxed, PBE.

Calculated values
calculated formation energy: 0.18 eV per atom
space-group type: P-6m2
offset from the most stable computed form: 45 meV per atom
density of states at the Fermi level: 1.630 states/eV/f.u.
total magnetization: 0.0 μB/cell

a b c (Å): 5.820 5.820 8.626
angles (deg): 90.00 90.00 120.00
Atoms (fractional coordinates):
Na  0.500  0.501  0.003
Na  0.500  0.501  0.497
Na  0.500  0.000  0.003
Na  0.500  0.000  0.497
Na  0.000  0.500  0.001
Na  0.000  0.500  0.499
Na  0.999  0.000  0.003
Na  0.999  0.000  0.497
C  0.333  0.667  0.250
C  0.833  0.167  0.250
C  0.667  0.833  0.750
C  0.833  0.667  0.250
B  0.160  0.340  0.750
B  0.333  0.167  0.250
B  0.159  0.341  0.250
B  0.333  0.167  0.750
B  0.160  0.821  0.750
B  0.159  0.819  0.250
B  0.355  0.678  0.750
B  0.679  0.340  0.750
B  0.681  0.341  0.250
B  0.822  0.145  0.750
B  0.667  0.833  0.250
B  0.822  0.678  0.750

[3]
Na4B5C3: relaxed, PBE.

Calculated values
calculated formation energy: 0.08 eV per atom
space-group type: C2/m
offset from the most stable computed form: 20 meV per atom
density of states at the Fermi level: 2.235 states/eV/f.u.
total magnetization: 0.0 μB/cell

a b c (Å): 17.269 17.268 17.268
angles (deg): 170.63 163.19 19.28
Atoms (fractional coordinates):
Na  0.000  0.000  0.000
Na  0.125  0.126  0.999
Na  0.250  0.250  0.000
Na  0.373  0.373  0.000
Na  0.500  0.500  0.000
Na  0.627  0.627  0.000
Na  0.750  0.750  0.000
Na  0.875  0.874  0.001
C  0.523  0.188  0.335
C  0.477  0.812  0.665
C  0.728  0.063  0.665
C  0.023  0.688  0.335
C  0.977  0.312  0.665
C  0.272  0.937  0.335
B  0.218  0.563  0.654
B  0.357  0.688  0.669
B  0.424  0.063  0.360
B  0.782  0.437  0.346
B  0.576  0.937  0.640
B  0.643  0.312  0.331
B  0.857  0.188  0.669
B  0.884  0.563  0.321
B  0.116  0.437  0.679
B  0.143  0.812  0.331

[4]
Na5B8C2: relaxed, PBE.

Calculated values
calculated formation energy: 0.19 eV per atom
space-group type: Amm2
offset from the most stable computed form: 17 meV per atom
density of states at the Fermi level: 3.161 states/eV/f.u.
total magnetization: 0.0 μB/cell

a b c (Å): 13.249 13.249 8.664
angles (deg): 90.00 90.00 167.76
Atoms (fractional coordinates):
Na  0.201  0.799  0.000
Na  0.201  0.799  0.500
Na  0.399  0.601  0.001
Na  0.399  0.601  0.499
Na  0.000  0.000  0.000
Na  0.000  0.000  0.500
Na  0.600  0.400  0.001
Na  0.600  0.400  0.499
Na  0.800  0.200  0.000
Na  0.800  0.200  0.500
B  0.731  0.269  0.250
B  0.737  0.263  0.750
B  0.272  0.728  0.250
B  0.465  0.535  0.750
B  0.922  0.078  0.750
B  0.462  0.538  0.250
B  0.528  0.472  0.250
B  0.074  0.926  0.750
B  0.530  0.470  0.750
B  0.065  0.935  0.250
B  0.129  0.871  0.250
B  0.142  0.858  0.750
B  0.669  0.331  0.250
B  0.335  0.665  0.250
B  0.330  0.670  0.750
B  0.874  0.126  0.250
C  0.268  0.732  0.750
C  0.933  0.067  0.250
C  0.673  0.327  0.750
C  0.862  0.138  0.750

Question: density of states at the Fermi level of number 1 (Na2B3C)?
Answer: 1.525 states/eV/f.u.

Question: density of states at the Fermi level of number 4 (Na5B8C2)?
Answer: 3.161 states/eV/f.u.

Question: Which of these has the highest density of states at the Fermi level?
Answer: Na5B8C2